[1]
Computed, not measured: an optimized crystal structure of LaTc4 at the PBEsol level of DFT.

Raw total energy (eV per atom): -9.960
M_tot (μB/atom): 0.000

a b c (Å): 5.9152 5.9152 5.9152
angles (deg): 137.38 137.38 61.86
Fractional coordinates of all 5 atoms:
La 0.0000 0.0000 0.0000
Tc 0.2500 0.7500 0.5000
Tc 0.3725 0.3725 0.0000
Tc 0.6275 0.6275 0.0000
Tc 0.7500 0.2500 0.5000

[2]
Computed, not measured: an optimized crystal structure of CsCaP3O9 at the PBEsol level of DFT.

Raw total energy (eV per atom): -7.307
Formation energy from raw total energies (eV per atom): -2.472
M_tot (μB/atom): 0.000

a b c (Å): 9.9541 7.5820 12.6782
angles (deg): 90.00 90.00 90.00
Fractional coordinates of all 56 atoms:
Cs 0.1036 0.2500 0.0860
Cs 0.3964 0.7500 0.5860
Cs 0.6036 0.2500 0.4140
Cs 0.8964 0.7500 0.9140
Ca 0.0133 0.7500 0.2222
Ca 0.4867 0.2500 0.7222
Ca 0.5133 0.7500 0.2778
Ca 0.9867 0.2500 0.7778
P 0.2118 0.2500 0.5430
P 0.2494 0.0521 0.3518
P 0.2494 0.4479 0.3518
P 0.2506 0.5521 0.8518
P 0.2506 0.9479 0.8518
P 0.2882 0.7500 0.0430
P 0.7118 0.2500 0.9570
P 0.7494 0.0521 0.1482
P 0.7494 0.4479 0.1482
P 0.7506 0.5521 0.6482
P 0.7506 0.9479 0.6482
P 0.7882 0.7500 0.4570
O 0.1099 0.2500 0.6279
O 0.1212 0.0456 0.8672
O 0.1212 0.4544 0.8672
O 0.1406 0.7500 0.0667
O 0.1468 0.5185 0.2772
O 0.1468 0.9815 0.2772
O 0.1787 0.0854 0.4644
O 0.1787 0.4146 0.4644
O 0.2100 0.7500 0.8145
O 0.2900 0.2500 0.3145
O 0.3213 0.5854 0.9644
O 0.3213 0.9146 0.9644
O 0.3532 0.0185 0.7772
O 0.3532 0.4815 0.7772
O 0.3594 0.2500 0.5667
O 0.3788 0.5456 0.3672
O 0.3788 0.9544 0.3672
O 0.3901 0.7500 0.1279
O 0.6099 0.2500 0.8721
O 0.6212 0.0456 0.6328
O 0.6212 0.4544 0.6328
O 0.6406 0.7500 0.4333
O 0.6468 0.5185 0.2228
O 0.6468 0.9815 0.2228
O 0.6787 0.0854 0.0356
O 0.6787 0.4146 0.0356
O 0.7100 0.7500 0.6855
O 0.7900 0.2500 0.1855
O 0.8213 0.5854 0.5356
O 0.8213 0.9146 0.5356
O 0.8532 0.0185 0.7228
O 0.8532 0.4815 0.7228
O 0.8594 0.2500 0.9333
O 0.8788 0.5456 0.1328
O 0.8788 0.9544 0.1328
O 0.8901 0.7500 0.3721

[3]
Computed, not measured: an optimized crystal structure of SrMgMn2 at the PBEsol level of DFT.

Raw total energy (eV per atom): -5.319
M_tot (μB/atom): 0.099

a b c (Å): 3.1801 3.1801 8.0902
angles (deg): 90.00 90.00 90.00
Fractional coordinates of all 4 atoms:
Sr 0.0000 0.0000 0.0000
Mg 0.5000 0.5000 0.3540
Mn 0.0000 0.0000 0.5911
Mn 0.5000 0.5000 0.6975

[4]
Computed, not measured: an optimized crystal structure of Y2MnNi at the PBEsol level of DFT.

Raw total energy (eV per atom): -7.114
M_tot (μB/atom): 1.005

a b c (Å): 4.7054 4.7054 4.7054
angles (deg): 60.00 60.00 60.00
Fractional coordinates of all 4 atoms:
Y 0.0000 0.0000 0.0000
Y 0.2500 0.2500 0.2500
Mn 0.7500 0.7500 0.7500
Ni 0.5000 0.5000 0.5000

[5]
Computed, not measured: an optimized crystal structure of KBaIr at the PBEsol level of DFT.

Raw total energy (eV per atom): -3.467
M_tot (μB/atom): 0.010

a b c (Å): 5.0022 5.0022 5.0022
angles (deg): 60.00 60.00 60.00
Fractional coordinates of all 3 atoms:
K 0.0000 0.0000 0.0000
Ba 0.7500 0.7500 0.7500
Ir 0.2500 0.2500 0.2500

[6]
Computed, not measured: an optimized crystal structure of Cu2OsW at the PBEsol level of DFT.

Raw total energy (eV per atom): -8.392
M_tot (μB/atom): 0.000

a b c (Å): 2.6410 4.0826 5.0250
angles (deg): 90.00 101.15 90.00
Fractional coordinates of all 4 atoms:
Cu 0.0000 0.0000 0.0000
Cu 0.0854 0.5000 0.2325
Os 0.6651 0.0000 0.4841
W 0.4181 0.5000 0.7454

[7]
Computed, not measured: an optimized crystal structure of Cr2AsRu at the PBEsol level of DFT.

Raw total energy (eV per atom): -8.862
M_tot (μB/atom): 0.000

a b c (Å): 4.7196 4.7196 4.7196
angles (deg): 136.20 136.20 63.67
Fractional coordinates of all 4 atoms:
Cr 0.2500 0.7500 0.5000
Cr 0.7500 0.2500 0.5000
As 0.0000 0.0000 0.0000
Ru 0.5000 0.5000 0.0000

[8]
Computed, not measured: an optimized crystal structure of Ta2HO2 at the PBEsol level of DFT.

Raw total energy (eV per atom): -8.620
M_tot (μB/atom): 0.000

a b c (Å): 6.0091 6.0091 2.7523
angles (deg): 90.00 90.00 90.00
Fractional coordinates of all 10 atoms:
Ta 0.1718 0.3282 0.0000
Ta 0.3282 0.8282 0.0000
Ta 0.6718 0.1718 0.0000
Ta 0.8282 0.6718 0.0000
H 0.0000 0.0000 0.0000
H 0.5000 0.5000 0.0000
O 0.1337 0.6337 0.5000
O 0.3663 0.1337 0.5000
O 0.6337 0.8663 0.5000
O 0.8663 0.3663 0.5000

[9]
Computed, not measured: an optimized crystal structure of Zn2AsAu at the PBEsol level of DFT.

Raw total energy (eV per atom): -3.013
M_tot (μB/atom): 0.000

a b c (Å): 4.8427 4.8427 4.8427
angles (deg): 130.51 130.51 72.60
Fractional coordinates of all 4 atoms:
Zn 0.2500 0.7500 0.5000
Zn 0.7500 0.2500 0.5000
As 0.0000 0.0000 0.0000
Au 0.5000 0.5000 0.0000

[10]
Computed, not measured: an optimized crystal structure of Na3Ni2O4 at the PBEsol level of DFT.

Raw total energy (eV per atom): -5.187
Formation energy from raw total energies (eV per atom): -1.020
M_tot (μB/atom): 0.555

a b c (Å): 5.5397 9.7973 8.2705
angles (deg): 90.00 90.00 90.00
Fractional coordinates of all 36 atoms:
Na 0.0542 0.0963 0.1476
Na 0.0542 0.4037 0.1476
Na 0.1532 0.2500 0.8192
Na 0.3468 0.7500 0.3192
Na 0.4458 0.5963 0.6476
Na 0.4458 0.9037 0.6476
Na 0.5542 0.0963 0.3524
Na 0.5542 0.4037 0.3524
Na 0.6532 0.2500 0.6808
Na 0.8468 0.7500 0.1808
Na 0.9458 0.5963 0.8524
Na 0.9458 0.9037 0.8524
Ni 0.0569 0.1209 0.4932
Ni 0.0569 0.3791 0.4932
Ni 0.4431 0.6209 0.9932
Ni 0.4431 0.8791 0.9932
Ni 0.5569 0.1209 0.0068
Ni 0.5569 0.3791 0.0068
Ni 0.9431 0.6209 0.5068
Ni 0.9431 0.8791 0.5068
O 0.0993 0.7500 0.6395
O 0.1988 0.7500 0.0425
O 0.2034 0.5344 0.3980
O 0.2034 0.9656 0.3980
O 0.2966 0.0344 0.8980
O 0.2966 0.4656 0.8980
O 0.3012 0.2500 0.5425
O 0.4007 0.2500 0.1395
O 0.5993 0.7500 0.8605
O 0.6988 0.7500 0.4575
O 0.7034 0.5344 0.1020
O 0.7034 0.9656 0.1020
O 0.7966 0.0344 0.6020
O 0.7966 0.4656 0.6020
O 0.8012 0.2500 0.9575
O 0.9007 0.2500 0.3605

[11]
Computed, not measured: an optimized crystal structure of Li2B4O7 at the PBEsol level of DFT.

Raw total energy (eV per atom): -7.746
Formation energy from raw total energies (eV per atom): -2.458
M_tot (μB/atom): 0.000

a b c (Å): 8.4862 8.4862 8.4862
angles (deg): 112.28 112.28 103.98
Fractional coordinates of all 52 atoms:
Li 0.0939 0.5779 0.1718
Li 0.1721 0.1561 0.3282
Li 0.3279 0.6561 0.9840
Li 0.4061 0.9221 0.8282
Li 0.5939 0.4221 0.5160
Li 0.6721 0.3439 0.0160
Li 0.8279 0.8439 0.6718
Li 0.9061 0.0779 0.4840
B 0.0422 0.6024 0.6651
B 0.1270 0.2922 0.9397
B 0.2724 0.1899 0.7461
B 0.2763 0.5224 0.5824
B 0.3524 0.1873 0.0603
B 0.4373 0.1024 0.5603
B 0.4399 0.0224 0.2461
B 0.4439 0.5263 0.2539
B 0.5422 0.8770 0.4397
B 0.6270 0.6873 0.8349
B 0.7724 0.0263 0.0824
B 0.7763 0.1939 0.7539
B 0.8524 0.7922 0.1651
B 0.9373 0.3770 0.3349
B 0.9399 0.6939 0.4176
B 0.9439 0.6899 0.9176
O 0.0611 0.6428 0.8560
O 0.1305 0.3837 0.3900
O 0.1337 0.2438 0.7532
O 0.1594 0.1594 0.0000
O 0.2443 0.6463 0.7142
O 0.2802 0.4943 0.0980
O 0.2868 0.1428 0.5818
O 0.3928 0.0368 0.0818
O 0.3963 0.1821 0.9020
O 0.4094 0.9094 0.5000
O 0.4321 0.1463 0.4020
O 0.4550 0.5368 0.6440
O 0.4905 0.3805 0.2468
O 0.4938 0.8837 0.2532
O 0.5611 0.7050 0.4182
O 0.6305 0.2405 0.7468
O 0.6337 0.8805 0.8900
O 0.6594 0.6594 0.0000
O 0.7443 0.0302 0.5980
O 0.7802 0.6821 0.7858
O 0.7868 0.2050 0.1440
O 0.8928 0.8111 0.3560
O 0.8963 0.9943 0.2142
O 0.9094 0.4094 0.5000
O 0.9321 0.5302 0.2858
O 0.9550 0.3111 0.9182
O 0.9905 0.7438 0.1100
O 0.9938 0.7405 0.6100

[12]
Computed, not measured: an optimized crystal structure of La2ZrF at the PBEsol level of DFT.

Raw total energy (eV per atom): -5.658
Formation energy from raw total energies (eV per atom): -0.231
M_tot (μB/atom): 0.478

a b c (Å): 5.1713 5.1713 5.1713
angles (deg): 60.00 60.00 60.00
Fractional coordinates of all 4 atoms:
La 0.2500 0.2500 0.2500
La 0.7500 0.7500 0.7500
Zr 0.0000 0.0000 0.0000
F 0.5000 0.5000 0.5000

[13]
Computed, not measured: an optimized crystal structure of Al3WN at the PBEsol level of DFT.

Raw total energy (eV per atom): -6.921
Formation energy from raw total energies (eV per atom): 0.000
M_tot (μB/atom): 0.000

a b c (Å): 3.9814 3.9814 3.9814
angles (deg): 90.00 90.00 90.00
Fractional coordinates of all 5 atoms:
Al 0.0000 0.0000 0.5000
Al 0.0000 0.5000 0.0000
Al 0.5000 0.0000 0.0000
W 0.5000 0.5000 0.5000
N 0.0000 0.0000 0.0000

[14]
Computed, not measured: an optimized crystal structure of Na2PH3O5 at the PBEsol level of DFT.

Raw total energy (eV per atom): -5.836
M_tot (μB/atom): 0.000

a b c (Å): 5.6470 5.6816 7.8716
angles (deg): 103.13 109.46 101.58
Fractional coordinates of all 22 atoms:
Na 0.0028 0.1552 0.2097
Na 0.2406 0.7845 0.4249
Na 0.7594 0.2155 0.5751
Na 0.9972 0.8448 0.7903
P 0.3674 0.4223 0.7089
P 0.6326 0.5777 0.2911
H 0.2543 0.3774 0.9527
H 0.3060 0.7809 0.1208
H 0.4462 0.0810 0.1739
H 0.5538 0.9190 0.8261
H 0.6940 0.2191 0.8792
H 0.7457 0.6226 0.0473
O 0.1994 0.2837 0.8081
O 0.2724 0.9446 0.1106
O 0.2849 0.6591 0.6903
O 0.3042 0.2226 0.5212
O 0.3350 0.5077 0.1605
O 0.6650 0.4923 0.8395
O 0.6958 0.7774 0.4788
O 0.7151 0.3409 0.3097
O 0.7276 0.0554 0.8894
O 0.8006 0.7163 0.1919

[15]
Computed, not measured: an optimized crystal structure of CsLuS2 at the PBEsol level of DFT.

Raw total energy (eV per atom): -5.513
Formation energy from raw total energies (eV per atom): -1.867
M_tot (μB/atom): 0.000

a b c (Å): 8.2336 8.2336 8.2336
angles (deg): 27.74 27.74 27.74
Fractional coordinates of all 4 atoms:
Cs 0.0000 0.0000 0.0000
Lu 0.5000 0.5000 0.5000
S 0.2268 0.2268 0.2268
S 0.7732 0.7732 0.7732

[16]
Computed, not measured: an optimized crystal structure of YCrIn at the PBEsol level of DFT.

Raw total energy (eV per atom): -6.541
M_tot (μB/atom): 0.956

a b c (Å): 6.2431 6.2431 6.2431
angles (deg): 149.23 149.23 44.07
Fractional coordinates of all 3 atoms:
Y 0.0000 0.0000 0.0000
Cr 0.6643 0.6643 0.0000
In 0.3003 0.3003 0.0000

[17]
Computed, not measured: an optimized crystal structure of PtRhN3 at the PBEsol level of DFT.

Raw total energy (eV per atom): -6.330
Formation energy from raw total energies (eV per atom): 1.806
M_tot (μB/atom): 0.005

a b c (Å): 3.8101 3.8101 3.8101
angles (deg): 90.00 90.00 90.00
Fractional coordinates of all 5 atoms:
Pt 0.0000 0.0000 0.0000
Rh 0.5000 0.5000 0.5000
N 0.0000 0.5000 0.5000
N 0.5000 0.0000 0.5000
N 0.5000 0.5000 0.0000

[18]
Computed, not measured: an optimized crystal structure of YCr2HPb at the PBEsol level of DFT.

Raw total energy (eV per atom): -6.650
M_tot (μB/atom): 1.208

a b c (Å): 4.3127 4.3127 4.2512
angles (deg): 90.00 90.00 90.00
Fractional coordinates of all 5 atoms:
Y 0.0000 0.0000 0.0000
Cr 0.0000 0.5000 0.5000
Cr 0.5000 0.0000 0.5000
H 0.0000 0.0000 0.5000
Pb 0.5000 0.5000 0.0000

[19]
Computed, not measured: an optimized crystal structure of Tl2FeSe at the PBEsol level of DFT.

Raw total energy (eV per atom): -4.058
Formation energy from raw total energies (eV per atom): 0.461
M_tot (μB/atom): 0.802

a b c (Å): 4.8157 3.6746 5.1873
angles (deg): 90.00 106.43 90.00
Fractional coordinates of all 4 atoms:
Tl 0.0000 0.0000 0.0000
Tl 0.0000 0.5000 0.5000
Fe 0.5000 0.0000 0.5000
Se 0.5000 0.5000 0.0000

[20]
Computed, not measured: an optimized crystal structure of MgReTc2 at the PBEsol level of DFT.

Raw total energy (eV per atom): -9.126
M_tot (μB/atom): 0.000

a b c (Å): 2.6788 2.6788 9.0640
angles (deg): 90.00 90.00 113.05
Fractional coordinates of all 4 atoms:
Mg 0.0000 0.0000 0.0000
Re 0.0000 0.0000 0.5000
Tc 0.5000 0.5000 0.2596
Tc 0.5000 0.5000 0.7404

[21]
Computed, not measured: an optimized crystal structure of BaSb2Te2 at the PBEsol level of DFT.

Raw total energy (eV per atom): -4.053
Formation energy from raw total energies (eV per atom): -0.390
M_tot (μB/atom): 0.000

a b c (Å): 6.3919 6.3919 6.3919
angles (deg): 123.22 123.22 84.50
Fractional coordinates of all 5 atoms:
Ba 0.0000 0.0000 0.0000
Sb 0.3521 0.3521 0.0000
Sb 0.6479 0.6479 0.0000
Te 0.2500 0.7500 0.5000
Te 0.7500 0.2500 0.5000